Record 1
## Pr7Tl2Ir2 (PBE-GGA)

Data for crystalline Pr7Tl2Ir2 at its relaxed geometry.

Summary:
Crystal system: orthorhombic
Magnetic moment in μB/cell: 0.00
Space group: Imm2
Formation enthalpy at 0 K in eV/atom: -0.38

Lattice parameters (Å, degrees): 4.5856 9.3293 9.3293 61.71 75.77 75.77
Element x y z (fractional)
1 Pr 0.8254 0.0486 0.3006
2 Pr 0.8812 0.4130 0.8247
3 Pr 0.5000 0.0021 0.9979
4 Pr 0.6044 0.5058 0.2854
5 Pr 0.3956 0.7146 0.4942
6 Pr 0.1746 0.6994 0.9514
7 Pr 0.1188 0.1753 0.5870
8 Tl 0.7285 0.8525 0.6906
9 Tl 0.2715 0.3094 0.1475
10 Ir 0.0000 0.7897 0.2103
11 Ir 0.5000 0.3434 0.6566

Record 2
## V6Pd8Pt (PBE-GGA)

Data for crystalline V6Pd8Pt at its relaxed geometry.

Summary:
Crystal system: trigonal
Magnetic moment in μB/cell: 0.88
Space group: P-3
Formation enthalpy at 0 K in eV/atom: -0.01

Lattice parameters (Å, degrees): 2.7589 9.7884 9.7884 120.00 90.00 90.00
Site moments in Bohr magnetons follow the coordinates.
Element x y z (fractional)
1 V 0.7337 0.5227 0.6112  0.13
2 V 0.7337 0.3888 0.9114  0.13
3 V 0.7337 0.0886 0.4773  0.13
4 V 0.2663 0.4773 0.3888  0.13
5 V 0.2663 0.6112 0.0886  0.13
6 V 0.2663 0.9114 0.5227  0.13
7 Pd 0.7777 0.6991 0.9183  0.01
8 Pd 0.7777 0.0817 0.7809  0.01
9 Pd 0.7777 0.2191 0.3009  0.01
10 Pd 0.2223 0.3009 0.0817  0.01
11 Pd 0.2223 0.9183 0.2191  0.01
12 Pd 0.2223 0.7809 0.6991  0.01
13 Pd 0.7661 0.6667 0.3333  0.01
14 Pd 0.2339 0.3333 0.6667  0.01
15 Pt 0.5000 0.0000 0.0000  0.00

Record 3
## NaCuWS4 (PBE-GGA)

Data for crystalline NaCuWS4 at its relaxed geometry.

Summary:
Crystal system: orthorhombic
Magnetic moment in μB/cell: 0.00
Formation energy without anion corrections in eV per atom: -0.601
Space group: Cmcm

Lattice parameters (Å, degrees): 6.9070 6.9070 7.4614 90.00 90.00 109.54
Element x y z (fractional)
1 Na 0.5000 0.5000 0.5000
2 Na 0.5000 0.5000 0.0000
3 Cu 0.8855 0.1145 0.2500
4 Cu 0.1145 0.8855 0.7500
5 W 0.1298 0.8702 0.2500
6 W 0.8702 0.1298 0.7500
7 S 0.2142 0.2370 0.7500
8 S 0.7630 0.7858 0.7500
9 S 0.7619 0.2381 0.9969
10 S 0.7619 0.2381 0.5031
11 S 0.2381 0.7619 0.0031
12 S 0.2381 0.7619 0.4969
13 S 0.7858 0.7630 0.2500
14 S 0.2370 0.2142 0.2500

Record 4
## PuTl3Cl7 (PBE-GGA)

Data for crystalline PuTl3Cl7 at its relaxed geometry.

Summary:
Crystal system: monoclinic
Magnetic moment in μB/cell: 4.00
Formation energy without anion corrections in eV per atom: -1.307
Space group: Cm

Lattice parameters (Å, degrees): 7.3601 7.3601 8.5913 62.90 62.90 82.00
Site moments in Bohr magnetons follow the coordinates.
Element x y z (fractional)
1 Pu 0.9618 0.9618 0.0302  4.40
2 Tl 0.7876 0.2300 0.4808  -0.01
3 Tl 0.5126 0.5126 0.9205  -0.01
4 Tl 0.2300 0.7876 0.4808  -0.01
5 Cl 0.1562 0.1562 0.1102  -0.06
6 Cl 0.6346 0.1324 0.2194  -0.05
7 Cl 0.9552 0.3134 0.7455  -0.07
8 Cl 0.1324 0.6346 0.2194  -0.05
9 Cl 0.6377 0.6377 0.4016  -0.02
10 Cl 0.3134 0.9552 0.7455  -0.07
11 Cl 0.8034 0.8034 0.8961  -0.06

Calculated raw total energy, -60.05; -102.39; -78.17; -48.73 eV per cell (same order as the records).